Entry from Alexandria via LeMat-Bulk: crystalline InGaTc2B at its relaxed geometry (PBE).

abc: 5.0467 5.0467 4.0327
angles: 90.00 90.00 90.00
Positions (direct):
B: 0.0000 0.0000 0.5000
Tc: 0.0000 0.5000 0.0000
Tc: 0.5000 0.0000 0.0000
Ga: 0.5000 0.5000 0.5000
In: 0.0000 0.0000 0.0000

Summary:
- D(E_F): 0.909 states/eV/atom
- Spin magnetization: 3.72 μB per cell
- Mass density: 6.3 Mg/m³
- Symmetry: No. 123
- Energy of formation: 2.10 eV per atom